1.
This record from the Alexandria database describes crystalline Li2N2Cl3 at its relaxed geometry. The functional is PBE.

The total energy is -0.339 Ry/atom. Its formation energy (no corrections) is -0.8965 eV per atom.

The structure belongs to space group P-1 (No. 2); the cell edges are 3.899, 6.003 and 8.028 Å and the angles 83.77°, 82.28° and 71.69°. The distinct sites, in fractional coordinates, are Li at (0.140, 0.199, 0.047), N at (0.030, 0.513, 0.564), Cl at (0.326, 0.953, 0.810) and Cl at (0.500, 0.500, 0.000).


2.
This record from the Alexandria database describes crystalline LiNCl at its relaxed geometry. The functional is PBE.

The total energy is -0.382 Ry/atom. Its formation energy (no corrections) is -1.1733 eV per atom.

The structure belongs to space group P2_1/c (No. 14); the cell edges are 9.019, 6.109 and 6.104 Å and the angles 90.00°, 109.27° and 90.00°. The distinct sites, in fractional coordinates, are Li at (0.000, 0.250, 0.000), N at (0.500, 0.091, 0.010) and Cl at (0.121, 0.000, 0.309).


3.
This record from the Alexandria database describes crystalline Li3NCl at its relaxed geometry. The functional is PBE.

The total energy is -0.283 Ry/atom. The calculation puts the energy above the most stable polymorph in this dataset at 0.0 meV/atom. Its formation energy (no corrections) is -0.6670 eV per atom.

The structure belongs to space group Pm-3m (No. 221); the cell edges are 3.994, 3.994 and 3.994 Å and the angles 90.00°, 90.00° and 90.00°. The distinct sites, in fractional coordinates, are Li at (0.000, 0.000, 0.500), N at (0.000, 0.000, 0.000) and Cl at (0.500, 0.500, 0.500).


> What is the formation energy (no corrections) in the third record?

-0.6670 eV per atom


> Number 1 is which compound?

Li2N2Cl3


> Which of these has the lowest formation energy (no corrections)?

LiNCl